MnNiCl | PBE | relaxed

Values from the calculation:
- energy above the lowest structure with this stoichiometry (eV per atom) = 0.317
- ΔE_f (raw) (eV per atom) = 0.05
- DOS(E_F) (states/eV per atom) = 0.476

Lattice parameters (Å, degrees): 2.994 2.994 5.403 90.00 90.00 90.00
Fractional positions:
1 Mn 0.000 0.000 0.000
2 Ni 0.500 0.500 0.732
3 Cl 0.500 0.500 0.308

---

ZrSnS2 | PBE | relaxed

Values from the calculation:
- ΔE_f (raw) (eV per atom) = -1.01
- DOS(E_F) (states/eV per atom) = 0.648

Lattice parameters (Å, degrees): 8.477 8.477 8.477 24.24 24.24 24.24
Fractional positions:
1 Zr 0.000 0.000 0.000
2 Sn 0.837 0.837 0.837
3 S 0.397 0.397 0.397
4 S 0.603 0.603 0.603